The following is a PBE calculation of LiDyCd4 after structural relaxation, from the Alexandria database.

The calculation puts the calculated total energy at -1.923 eV/atom. Its density is 7.5 g/cm3. The value obtained for the energy above the most stable polymorph in this dataset is 0.000 eV/atom.

a b c (Å): 3.190 4.986 8.669
angles (deg): 90.00 90.18 90.00
Space group P2/m (No. 10)
Unique sites:
Li 0.000 0.000 0.000 x1
Dy 0.000 0.500 0.500 x1
Cd 0.491 0.500 0.161 x2
Cd 0.497 0.000 0.327 x2

---

The following is a PBE calculation of LiDy2Cd3 after structural relaxation, from the Alexandria database.

The calculation puts the calculated total energy at -2.588 eV/atom. Its density is 7.7 g/cm3.

a b c (Å): 5.1634 5.1634 12.5712
angles (deg): 90.00 90.00 120.00
Space group P-3m1 (No. 164)
Unique sites:
Li 0.3333 0.6667 0.1641 x2
Dy 0.0000 0.0000 0.0000 x1
Dy 0.0000 0.0000 0.5000 x1
Dy 0.3333 0.6667 0.6737 x2
Cd 0.0000 0.0000 0.2449 x2
Cd 0.3333 0.6667 0.4073 x2
Cd 0.3333 0.6667 0.9235 x2

---

The following is a PBE calculation of Li2DyCd5 after structural relaxation, from the Alexandria database.

The calculation puts the calculated total energy at -1.863 eV/atom. Its density is 7.3 g/cm3.

a b c (Å): 4.791 4.791 14.716
angles (deg): 90.00 90.00 90.00
Space group I4/mmm (No. 139)
Unique sites:
Li 0.000 0.000 0.249 x4
Dy 0.000 0.000 0.500 x2
Cd 0.000 0.000 0.000 x2
Cd 0.000 0.500 0.142 x8

---

The following is a PBE calculation of LiDy6Cd5 after structural relaxation, from the Alexandria database.

The calculation puts the calculated total energy at -3.096 eV/atom. Its density is 8.2 g/cm3.

a b c (Å): 5.272 15.818 7.504
angles (deg): 90.00 90.00 90.00
Space group Cmmm (No. 65)
Unique sites:
Li 0.000 0.000 0.000 x2
Dy 0.000 0.167 0.248 x8
Dy 0.000 0.500 0.251 x4
Cd 0.000 0.000 0.500 x2
Cd 0.000 0.333 0.500 x4
Cd 0.000 0.338 0.000 x4